# 1
Entry from Alexandria: crystalline SrCd2Br6 at its relaxed geometry (PBE). Values from VASP.

```
&SYSTEM
  ibrav = 0, nat = 18, ntyp = 3
/
ATOMIC_SPECIES
Sr 87.62 Sr.upf
Cd 112.41 Cd.upf
Br 79.90 Br.upf
CELL_PARAMETERS angstrom
7.574 -6.394 0.000
7.574 6.394 0.000
-2.628 0.000 7.600
ATOMIC_POSITIONS crystal
Sr 0.108 0.892 0.750
Sr 0.892 0.108 0.250
Cd 0.196 0.376 0.742
Cd 0.376 0.196 0.242
Cd 0.624 0.804 0.758
Cd 0.804 0.624 0.258
Br 0.012 0.190 0.654
Br 0.036 0.617 0.777
Br 0.190 0.012 0.154
Br 0.369 0.383 0.056
Br 0.383 0.369 0.556
Br 0.383 0.964 0.723
Br 0.617 0.036 0.277
Br 0.617 0.631 0.444
Br 0.631 0.617 0.944
Br 0.810 0.988 0.846
Br 0.964 0.383 0.223
Br 0.988 0.810 0.346
```

Output
Offset from the most stable computed form (meV per atom): 5
SG: C2/c
Crystal system: monoclinic
Formation energy without anion corrections (kJ per mole of atoms): -118.8

=====

# 2
Entry from Alexandria: crystalline LaIn3I6 at its relaxed geometry (PBE). Values from VASP.

```
&SYSTEM
  ibrav = 0, nat = 20, ntyp = 3
/
ATOMIC_SPECIES
La 138.91 La.upf
In 114.82 In.upf
I 126.90 I.upf
CELL_PARAMETERS angstrom
8.265 0.000 0.000
0.000 9.266 0.000
-7.322 0.000 12.043
ATOMIC_POSITIONS crystal
La 0.000 0.000 0.000
La 0.000 0.500 0.500
In 0.315 0.098 0.786
In 0.315 0.402 0.286
In 0.500 0.000 0.500
In 0.500 0.500 0.000
In 0.685 0.598 0.714
In 0.685 0.902 0.214
I 0.087 0.064 0.244
I 0.087 0.436 0.744
I 0.248 0.713 0.086
I 0.248 0.787 0.586
I 0.371 0.169 0.049
I 0.371 0.331 0.549
I 0.629 0.669 0.451
I 0.629 0.831 0.951
I 0.752 0.213 0.414
I 0.752 0.287 0.914
I 0.913 0.564 0.256
I 0.913 0.936 0.756
```

Output
SG: P2_1/c
Crystal system: monoclinic
Formation energy without anion corrections (kJ per mole of atoms): -84.5

=====

# 3
Entry from Alexandria: crystalline Hf2CoTc at its relaxed geometry (PBE). Values from VASP.

```
&SYSTEM
  ibrav = 0, nat = 8, ntyp = 3
/
ATOMIC_SPECIES
Hf 178.49 Hf.upf
Co 58.93 Co.upf
Tc 98.00 Tc.upf
CELL_PARAMETERS angstrom
-3.467 3.467 2.918
3.467 -3.467 2.918
3.467 3.467 -2.918
ATOMIC_POSITIONS crystal
Hf 0.103 0.625 0.978
Hf 0.375 0.353 0.478
Hf 0.647 0.125 0.022
Hf 0.875 0.897 0.522
Co 0.000 0.000 0.000
Co 0.750 0.250 0.500
Tc 0.250 0.750 0.500
Tc 0.500 0.500 0.000
```

Output
Energy of formation (meV/atom): 179
Offset from the most stable computed form (meV per atom): 681
SG: I-42d
Crystal system: tetragonal

=====

Number 1: calculated volume 40.89 A^3/atom, size of the total moment 0.000 μB per atom. Number 2: calculated volume 46.12 A^3/atom, size of the total moment 0.000 μB per atom. Number 3: calculated volume 17.54 A^3/atom, size of the total moment 0.000 μB per atom.